Sr2InPb2: optimized geometry, PBE.

Results
As for the size of the total moment: 0.00 μB per cell. As for the calculated volume: 350.1 Å³ per cell. As for the density: 6.7 g/cm³. Its density of states at the Fermi level is 0.576 states/eV per atom. The formation energy is -0.413 eV/atom. As for the total energy: -3.117 eV per atom. As for the excess energy over the best structure of this formula in the dataset: 0.0466 eV/atom.

```
data_Sr2InPb2
_chemical_formula_sum 'Sr4 In2 Pb4'
_cell_length_a 4.8333
_cell_length_b 7.0481
_cell_length_c 10.2778
_cell_angle_alpha 90.00
_cell_angle_beta 90.00
_cell_angle_gamma 90.00
_space_group_name_H-M_alt 'I m m m'
_space_group_IT_number 71
_space_group_name_Hall '-I 2 2'
loop_
_atom_site_label
_atom_site_type_symbol
_atom_site_fract_x
_atom_site_fract_y
_atom_site_fract_z
Sr1 Sr 0.0000 0.0000 0.2104
In1 In 0.0000 0.5000 0.0000
Pb1 Pb 0.0000 0.2720 0.5000
```

CdBi7Pb12: optimized geometry, PBE.

Results
As for the size of the total moment: 0.00 μB per cell. As for the calculated volume: 2189.9 Å³ per cell. As for the density: 9.2 g/cm³. Its density of states at the Fermi level is 0.582 states/eV per atom. The formation energy is 0.118 eV/atom. As for the total energy: -3.511 eV per atom. As for the excess energy over the best structure of this formula in the dataset: 0.0560 eV/atom.

```
data_CdBi7Pb12
_chemical_formula_sum 'Cd3 Bi21 Pb36'
_cell_length_a 12.5295
_cell_length_b 12.5295
_cell_length_c 16.1075
_cell_angle_alpha 90.00
_cell_angle_beta 90.00
_cell_angle_gamma 120.00
_space_group_name_H-M_alt 'R -3'
_space_group_IT_number 148
_space_group_name_Hall '-R 3'
loop_
_atom_site_label
_atom_site_type_symbol
_atom_site_fract_x
_atom_site_fract_y
_atom_site_fract_z
Cd1 Cd 0.0000 0.0000 0.0000
Bi1 Bi 0.0000 0.0000 0.5000
Bi2 Bi 0.0594 0.8826 0.8302
Pb1 Pb 0.0283 0.4394 0.6694
Pb2 Pb 0.0495 0.8641 0.3445
```

Y4GaTeS2: optimized geometry, PBE.

Results
As for the size of the total moment: 0.00 μB per cell. As for the calculated volume: 195.9 Å³ per cell. As for the density: 5.2 g/cm³. Its density of states at the Fermi level is 0.357 states/eV per atom. As for the total energy: -6.503 eV per atom. Its formation energy (no corrections) is -1.468 eV/atom.

```
data_Y4GaTeS2
_chemical_formula_sum 'Y4 Ga1 Te1 S2'
_cell_length_a 7.1588
_cell_length_b 3.9923
_cell_length_c 7.2266
_cell_angle_alpha 90.00
_cell_angle_beta 108.47
_cell_angle_gamma 90.00
_space_group_name_H-M_alt 'P 1 2/m 1'
_space_group_IT_number 10
loop_
_space_group_symop_operation_xyz
'x,y,z'
'-x,-y,-z'
'-x,y,-z'
'x,-y,z'
loop_
_atom_site_label
_atom_site_type_symbol
_atom_site_fract_x
_atom_site_fract_y
_atom_site_fract_z
Y1 Y 0.2282 0.0000 0.2232
Y2 Y 0.2367 0.5000 0.7542
Ga1 Ga 0.5000 0.0000 0.0000
Te1 Te 0.5000 0.5000 0.5000
S1 S 0.0000 0.0000 0.5000
S2 S 0.0000 0.5000 0.0000
```

CaTaP2H: optimized geometry, PBE.

Results
As for the size of the total moment: 1.98 μB per cell. As for the calculated volume: 145.7 Å³ per cell. As for the density: 3.2 g/cm³. Its density of states at the Fermi level is 0.807 states/eV per atom. As for the total energy: -3.369 eV per atom.

```
data_CaTaP2H
_chemical_formula_sum 'Ca1 Ta1 P2 H1'
_cell_length_a 5.1070
_cell_length_b 5.1070
_cell_length_c 5.5845
_cell_angle_alpha 90.00
_cell_angle_beta 90.00
_cell_angle_gamma 90.00
_space_group_name_H-M_alt 'P 4/m m m'
_space_group_IT_number 123
_space_group_name_Hall '-P 4 2'
loop_
_atom_site_label
_atom_site_type_symbol
_atom_site_fract_x
_atom_site_fract_y
_atom_site_fract_z
Ca1 Ca 0.0000 0.0000 0.0000
Ta1 Ta 0.0000 0.0000 0.5000
P1 P 0.0000 0.5000 0.0000
H1 H 0.5000 0.5000 0.5000
```

MgZr2ZnB: optimized geometry, PBE.

Results
As for the size of the total moment: 0.00 μB per cell. As for the calculated volume: 102.6 Å³ per cell. As for the density: 4.6 g/cm³. Its density of states at the Fermi level is 0.785 states/eV per atom. The formation energy is 1.272 eV/atom. As for the total energy: -4.056 eV per atom.

```
data_MgZr2ZnB
_chemical_formula_sum 'Mg1 Zr2 Zn1 B1'
_cell_length_a 5.0642
_cell_length_b 5.0642
_cell_length_c 4.0021
_cell_angle_alpha 90.00
_cell_angle_beta 90.00
_cell_angle_gamma 90.00
_space_group_name_H-M_alt 'P 4/m m m'
_space_group_IT_number 123
_space_group_name_Hall '-P 4 2'
loop_
_atom_site_label
_atom_site_type_symbol
_atom_site_fract_x
_atom_site_fract_y
_atom_site_fract_z
Mg1 Mg 0.0000 0.0000 0.0000
Zr1 Zr 0.0000 0.5000 0.0000
Zn1 Zn 0.5000 0.5000 0.5000
B1 B 0.0000 0.0000 0.5000
```

SmScPa2N4: optimized geometry, PBE.

Results
As for the size of the total moment: 0.00 μB per cell. As for the calculated volume: 469.1 Å³ per cell. As for the density: 10.1 g/cm³. Its density of states at the Fermi level is 0.462 states/eV per atom. As for the total energy: -9.530 eV per atom. Its formation energy (no corrections) is -1.612 eV/atom.

```
data_SmScPa2N4
_chemical_formula_sum 'Sm4 Sc4 Pa8 N16'
_cell_length_a 6.9007
_cell_length_b 6.9470
_cell_length_c 9.7859
_cell_angle_alpha 90.00
_cell_angle_beta 90.00
_cell_angle_gamma 90.00
_space_group_name_H-M_alt 'I m m a'
_space_group_IT_number 74
_space_group_name_Hall '-I 2b 2'
loop_
_atom_site_label
_atom_site_type_symbol
_atom_site_fract_x
_atom_site_fract_y
_atom_site_fract_z
Sm1 Sm 0.0000 0.0000 0.0000
Sc1 Sc 0.2500 0.2500 0.2500
Pa1 Pa 0.0000 0.0000 0.5000
Pa2 Pa 0.2500 0.2500 0.7500
N1 N 0.0000 0.0057 0.2575
N2 N 0.2346 0.2500 0.4965
```

BeCdP: optimized geometry, PBE.

Results
As for the size of the total moment: 0.00 μB per cell. As for the calculated volume: 102.5 Å³ per cell. As for the density: 4.9 g/cm³. Its density of states at the Fermi level is 0.212 states/eV per atom. The formation energy is -0.013 eV/atom. As for the total energy: -3.363 eV per atom. As for the excess energy over the best structure of this formula in the dataset: 0.0332 eV/atom.

```
data_BeCdP
_chemical_formula_sum 'Be2 Cd2 P2'
_cell_length_a 5.6380
_cell_length_b 3.6231
_cell_length_c 5.6468
_cell_angle_alpha 90.00
_cell_angle_beta 117.29
_cell_angle_gamma 90.00
_space_group_name_H-M_alt 'P 1 21/m 1'
_space_group_IT_number 11
loop_
_space_group_symop_operation_xyz
'x,y,z'
'-x,-y,-z'
'-x,y+1/2,-z'
'x,-y+1/2,z'
loop_
_atom_site_label
_atom_site_type_symbol
_atom_site_fract_x
_atom_site_fract_y
_atom_site_fract_z
Be1 Be 0.1510 0.2500 0.0958
Cd1 Cd 0.3669 0.2500 0.7528
P1 P 0.1676 0.7500 0.3069
```

LiTaMo: optimized geometry, PBE.

Results
As for the size of the total moment: 0.00 μB per cell. As for the calculated volume: 101.4 Å³ per cell. As for the density: 9.3 g/cm³. Its density of states at the Fermi level is 0.941 states/eV per atom. The formation energy is 0.415 eV/atom. As for the total energy: -7.784 eV per atom. As for the excess energy over the best structure of this formula in the dataset: 0.1418 eV/atom.

```
data_LiTaMo
_chemical_formula_sum 'Li2 Ta2 Mo2'
_cell_length_a 2.6644
_cell_length_b 2.6644
_cell_length_c 14.2871
_cell_angle_alpha 90.00
_cell_angle_beta 90.00
_cell_angle_gamma 90.00
_space_group_name_H-M_alt 'I 4 m m'
_space_group_IT_number 107
_space_group_name_Hall 'I 4 -2'
loop_
_atom_site_label
_atom_site_type_symbol
_atom_site_fract_x
_atom_site_fract_y
_atom_site_fract_z
Li1 Li 0.0000 0.0000 0.0000
Ta1 Ta 0.0000 0.0000 0.3253
Mo1 Mo 0.0000 0.0000 0.6614
```

Tl4Co2P: optimized geometry, PBE.

Results
As for the size of the total moment: 5.68 μB per cell. As for the calculated volume: 369.9 Å³ per cell. As for the density: 8.7 g/cm³. Its density of states at the Fermi level is 1.369 states/eV per atom. The formation energy is 0.698 eV/atom. As for the total energy: -3.457 eV per atom.

```
data_Tl4Co2P
_chemical_formula_sum 'Tl8 Co4 P2'
_cell_length_a 5.3635
_cell_length_b 5.3635
_cell_length_c 12.8603
_cell_angle_alpha 90.00
_cell_angle_beta 90.00
_cell_angle_gamma 90.00
_space_group_name_H-M_alt 'I 4/m m m'
_space_group_IT_number 139
_space_group_name_Hall '-I 4 2'
loop_
_atom_site_label
_atom_site_type_symbol
_atom_site_fract_x
_atom_site_fract_y
_atom_site_fract_z
Tl1 Tl 0.0000 0.0000 0.2123
Tl2 Tl 0.0000 0.5000 0.0000
Co1 Co 0.0000 0.0000 0.4164
P1 P 0.0000 0.0000 0.0000
```

LiMnCu2Au: optimized geometry, PBE.

Results
As for the size of the total moment: 3.69 μB per cell. As for the calculated volume: 73.7 Å³ per cell. As for the density: 8.7 g/cm³. Its density of states at the Fermi level is 0.687 states/eV per atom. The formation energy is 0.678 eV/atom. As for the total energy: -3.833 eV per atom.

```
data_LiMnCu2Au
_chemical_formula_sum 'Li1 Mn1 Cu2 Au1'
_cell_length_a 4.1075
_cell_length_b 4.1075
_cell_length_c 4.3706
_cell_angle_alpha 90.00
_cell_angle_beta 90.00
_cell_angle_gamma 90.00
_space_group_name_H-M_alt 'P 4/m m m'
_space_group_IT_number 123
_space_group_name_Hall '-P 4 2'
loop_
_atom_site_label
_atom_site_type_symbol
_atom_site_fract_x
_atom_site_fract_y
_atom_site_fract_z
Li1 Li 0.0000 0.0000 0.0000
Mn1 Mn 0.0000 0.0000 0.5000
Cu1 Cu 0.0000 0.5000 0.0000
Au1 Au 0.5000 0.5000 0.5000
```